1.
# Mg3TlN (GGA-PBEsol, optimized geometry)
data_Mg3TlN
_chemical_formula_sum 'Mg3 Tl1 N1'
_symmetry_space_group_name_H-M 'P 1'
_symmetry_Int_Tables_number 1
_cell_length_a 5.2423
_cell_length_b 5.2423
_cell_length_c 5.2423
_cell_angle_alpha 90.00
_cell_angle_beta 90.00
_cell_angle_gamma 90.00
loop_
_symmetry_equiv_pos_as_xyz
'x,y,z'
loop_
_atom_site_label
_atom_site_fract_x
_atom_site_fract_y
_atom_site_fract_z
Mg1 0.0000 0.0000 0.5000
Mg2 0.0000 0.5000 0.0000
Mg3 0.5000 0.0000 0.0000
Tl1 0.0000 0.0000 0.0000
N1 0.5000 0.5000 0.5000
# - Calculated total energy: -2.087 eV per atom
# - Distance to the lowest polymorph of the same formula: 1576 meV per atom
# - Fermi-level density of states: 2.19 states/eV per cell


2.
# Mg3TlN (GGA-PBEsol, optimized geometry)
data_Mg3TlN
_chemical_formula_sum 'Mg3 Tl1 N1'
_symmetry_space_group_name_H-M 'P 1'
_symmetry_Int_Tables_number 1
_cell_length_a 4.3629
_cell_length_b 4.3629
_cell_length_c 4.3629
_cell_angle_alpha 90.00
_cell_angle_beta 90.00
_cell_angle_gamma 90.00
loop_
_symmetry_equiv_pos_as_xyz
'x,y,z'
loop_
_atom_site_label
_atom_site_fract_x
_atom_site_fract_y
_atom_site_fract_z
Mg1 0.0000 0.0000 0.5000
Mg2 0.0000 0.5000 0.0000
Mg3 0.5000 0.0000 0.0000
Tl1 0.5000 0.5000 0.5000
N1 0.0000 0.0000 0.0000
# - Calculated total energy: -3.663 eV per atom
# - Distance to the lowest polymorph of the same formula: 0 meV per atom
# - Fermi-level density of states: 1.44 states/eV per cell


3.
# Mg3ZnN (GGA-PBEsol, optimized geometry)
data_Mg3ZnN
_chemical_formula_sum 'Mg3 Zn1 N1'
_symmetry_space_group_name_H-M 'P 1'
_symmetry_Int_Tables_number 1
_cell_length_a 4.9092
_cell_length_b 4.9092
_cell_length_c 4.9092
_cell_angle_alpha 90.00
_cell_angle_beta 90.00
_cell_angle_gamma 90.00
loop_
_symmetry_equiv_pos_as_xyz
'x,y,z'
loop_
_atom_site_label
_atom_site_fract_x
_atom_site_fract_y
_atom_site_fract_z
Mg1 0.0000 0.0000 0.5000
Mg2 0.0000 0.5000 0.0000
Mg3 0.5000 0.0000 0.0000
Zn1 0.0000 0.0000 0.0000
N1 0.5000 0.5000 0.5000
# - Calculated total energy: -1.949 eV per atom
# - Fermi-level density of states: 3.28 states/eV per cell


4.
# MgZn3N (GGA-PBEsol, optimized geometry)
data_MgZn3N
_chemical_formula_sum 'Mg1 Zn3 N1'
_symmetry_space_group_name_H-M 'P 1'
_symmetry_Int_Tables_number 1
_cell_length_a 5.0464
_cell_length_b 5.0464
_cell_length_c 5.0464
_cell_angle_alpha 90.00
_cell_angle_beta 90.00
_cell_angle_gamma 90.00
loop_
_symmetry_equiv_pos_as_xyz
'x,y,z'
loop_
_atom_site_label
_atom_site_fract_x
_atom_site_fract_y
_atom_site_fract_z
Mg1 0.0000 0.0000 0.0000
Zn1 0.0000 0.0000 0.5000
Zn2 0.0000 0.5000 0.0000
Zn3 0.5000 0.0000 0.0000
N1 0.5000 0.5000 0.5000
# - Calculated total energy: -1.348 eV per atom
# - Fermi-level density of states: 2.12 states/eV per cell


5.
# Mg5ZnN4 (GGA-PBEsol, optimized geometry)
data_Mg5ZnN4
_chemical_formula_sum 'Mg10 Zn2 N8'
_symmetry_space_group_name_H-M 'P 1'
_symmetry_Int_Tables_number 1
_cell_length_a 6.7012
_cell_length_b 7.0676
_cell_length_c 5.1474
_cell_angle_alpha 90.00
_cell_angle_beta 90.00
_cell_angle_gamma 90.00
loop_
_symmetry_equiv_pos_as_xyz
'x,y,z'
loop_
_atom_site_label
_atom_site_fract_x
_atom_site_fract_y
_atom_site_fract_z
Mg1 0.0027 0.0505 0.2486
Mg2 0.0027 0.4495 0.2486
Mg3 0.2500 0.2500 0.7199
Mg4 0.4973 0.0505 0.2486
Mg5 0.4973 0.4495 0.2486
Mg6 0.5027 0.5505 0.7514
Mg7 0.5027 0.9495 0.7514
Mg8 0.7500 0.7500 0.2801
Mg9 0.9973 0.5505 0.7514
Mg10 0.9973 0.9495 0.7514
Zn1 0.2500 0.7500 0.2762
Zn2 0.7500 0.2500 0.7238
N1 0.0002 0.2500 0.9502
N2 0.9998 0.7500 0.0498
N3 0.2500 0.0006 0.5019
N4 0.2500 0.4994 0.5019
N5 0.4998 0.2500 0.9502
N6 0.5002 0.7500 0.0498
N7 0.7500 0.5006 0.4981
N8 0.7500 0.9994 0.4981
# - Calculated total energy: -5.060 eV per atom


6.
# MgZrN2 (GGA-PBEsol, optimized geometry)
data_MgZrN2
_chemical_formula_sum 'Mg4 Zr4 N8'
_symmetry_space_group_name_H-M 'P 1'
_symmetry_Int_Tables_number 1
_cell_length_a 6.4071
_cell_length_b 4.4461
_cell_length_c 7.3909
_cell_angle_alpha 90.00
_cell_angle_beta 90.00
_cell_angle_gamma 90.00
loop_
_symmetry_equiv_pos_as_xyz
'x,y,z'
loop_
_atom_site_label
_atom_site_fract_x
_atom_site_fract_y
_atom_site_fract_z
Mg1 0.0786 0.2500 0.1193
Mg2 0.4214 0.7500 0.6193
Mg3 0.5786 0.2500 0.3807
Mg4 0.9214 0.7500 0.8807
Zr1 0.0888 0.2500 0.6306
Zr2 0.4112 0.7500 0.1306
Zr3 0.5888 0.2500 0.8694
Zr4 0.9112 0.7500 0.3694
N1 0.0799 0.7500 0.6151
N2 0.0833 0.7500 0.1305
N3 0.4167 0.2500 0.6305
N4 0.4201 0.2500 0.1151
N5 0.5799 0.7500 0.8849
N6 0.5833 0.7500 0.3695
N7 0.9167 0.2500 0.8695
N8 0.9201 0.2500 0.3849
# - Calculated total energy: -8.433 eV per atom


7.
# Mg4ZrN4 (GGA-PBEsol, optimized geometry)
data_Mg4ZrN4
_chemical_formula_sum 'Mg8 Zr2 N8'
_symmetry_space_group_name_H-M 'P 1'
_symmetry_Int_Tables_number 1
_cell_length_a 5.5812
_cell_length_b 5.6120
_cell_length_c 8.3899
_cell_angle_alpha 70.51
_cell_angle_beta 83.93
_cell_angle_gamma 67.73
loop_
_symmetry_equiv_pos_as_xyz
'x,y,z'
loop_
_atom_site_label
_atom_site_fract_x
_atom_site_fract_y
_atom_site_fract_z
Mg1 0.2193 0.1172 0.2169
Mg2 0.2398 0.9792 0.5732
Mg3 0.2429 0.5721 0.4172
Mg4 0.2556 0.7383 0.9994
Mg5 0.7444 0.2617 0.0006
Mg6 0.7571 0.4279 0.5828
Mg7 0.7602 0.0208 0.4268
Mg8 0.7807 0.8828 0.7831
Zr1 0.2310 0.3280 0.7813
Zr2 0.7690 0.6720 0.2187
N1 0.0025 0.8914 0.1958
N2 0.0179 0.6971 0.6165
N3 0.3465 0.3346 0.0035
N4 0.4964 0.2006 0.6011
N5 0.5036 0.7994 0.3989
N6 0.6535 0.6654 0.9965
N7 0.9821 0.3029 0.3835
N8 0.9975 0.1086 0.8042
# - Calculated total energy: -6.598 eV per atom


8.
# MgZrN2 (GGA-PBEsol, optimized geometry)
data_MgZrN2
_chemical_formula_sum 'Mg2 Zr2 N4'
_symmetry_space_group_name_H-M 'P 1'
_symmetry_Int_Tables_number 1
_cell_length_a 5.5514
_cell_length_b 5.5514
_cell_length_c 5.5514
_cell_angle_alpha 132.81
_cell_angle_beta 132.81
_cell_angle_gamma 68.95
loop_
_symmetry_equiv_pos_as_xyz
'x,y,z'
loop_
_atom_site_label
_atom_site_fract_x
_atom_site_fract_y
_atom_site_fract_z
Mg1 0.3750 0.6250 0.7500
Mg2 0.6250 0.3750 0.2500
Zr1 0.1250 0.8750 0.2500
Zr2 0.8750 0.1250 0.7500
N1 0.1155 0.3655 0.7500
N2 0.3655 0.1155 0.2500
N3 0.6345 0.8845 0.7500
N4 0.8845 0.6345 0.2500
# - Calculated total energy: -8.499 eV per atom


no.,E_form (uncorrected) (eV/f.u.)
1,5.87
2,-2.01
3,5.51
4,8.25
5,-6.32
6,-5.87
7,-9.32
8,-6.13